The following is a PBE calculation of BeNi2As after structural relaxation, from Alexandria.

## Properties
E_tot: -4.958 eV/atom
Magnetization: 0.00 μB per formula unit

Cell: 5.676 5.676 5.676 Å, 90.00 90.00 90.00°
Space group F-43m (No. 216)
Asymmetric unit:
Be (0.000, 0.000, 0.000) x4
Ni (0.000, 0.000, 0.500) x4
Ni (0.250, 0.250, 0.250) x4
As (0.250, 0.250, 0.750) x4

---

The following is a PBE calculation of TaCrSnOs after structural relaxation, from Alexandria.

## Properties
E_tot: -9.012 eV/atom
Magnetization: 0.36 μB per formula unit

Cell: 3.237 4.366 9.114 Å, 90.00 90.00 90.00°
Space group Imm2 (No. 44)
Asymmetric unit:
Ta (0.000, 0.000, 0.000) x2
Cr (0.000, 0.500, 0.269) x2
Sn (0.000, 0.500, 0.766) x2
Os (0.000, 0.000, 0.522) x2

---

The following is a PBE calculation of Si2AgAu2 after structural relaxation, from Alexandria.

## Properties
Energy relative to the elements, uncorrected: 0.7 eV/f.u.
E_tot: -3.906 eV/atom
Magnetization: 0.00 μB per formula unit

Cell: 4.434 4.434 9.483 Å, 90.00 90.00 90.00°
Space group I4/mmm (No. 139)
Asymmetric unit:
Si (0.000, 0.000, 0.120) x4
Ag (0.000, 0.000, 0.500) x2
Au (0.000, 0.500, 0.250) x4

---

The following is a PBE calculation of ScTa2Au after structural relaxation, from Alexandria.

## Properties
E_tot: -8.220 eV/atom
Magnetization: 0.00 μB per formula unit

Cell: 5.648 9.222 2.889 Å, 90.00 90.00 90.00°
Space group Cmmm (No. 65)
Asymmetric unit:
Sc (0.000, 0.000, 0.000) x2
Ta (0.250, 0.250, 0.500) x4
Au (0.000, 0.500, 0.000) x2

---

The following is a PBE calculation of Dy4Ho2TmTh after structural relaxation, from Alexandria.

## Properties
E_tot: -4.900 eV/atom
Magnetization: 0.00 μB per formula unit

Cell: 4.996 5.009 10.001 Å, 90.00 90.00 90.00°
Space group Pmmm (No. 47)
Asymmetric unit:
Dy (0.000, 0.000, 0.249) x2
Dy (0.500, 0.500, 0.249) x2
Ho (0.000, 0.500, 0.000) x1
Ho (0.500, 0.000, 0.500) x1
Tm (0.000, 0.500, 0.500) x1
Th (0.500, 0.000, 0.000) x1

---

The following is a PBE calculation of LaTlTc3 after structural relaxation, from Alexandria.

## Properties
E_tot: -5.668 eV/atom
Magnetization: 6.19 μB per formula unit

Cell: 4.940 4.940 4.940 Å, 90.00 90.00 90.00°
Space group Pm-3m (No. 221)
Asymmetric unit:
La (0.000, 0.000, 0.000) x1
Tl (0.500, 0.500, 0.500) x1
Tc (0.000, 0.000, 0.500) x3

---

> What is the E_tot in the fifth record?

-4.900 eV/atom